No. 1
VASP calculation (PBE-GGA) on an optimized crystal structure of Sr3Pa5N12.

a b c (Å): 12.3700 12.3700 12.3700
angles (deg): 109.47 109.47 109.47
Closest atoms and distances in Å follow each position.
Sites, in units of the cell vectors:
Sr 0.7500 0.3750 0.1250  4 N 2.67
Sr 0.8750 0.7500 0.1250  4 N 2.67
Sr 0.3750 0.7500 0.6250  4 N 2.67
Sr 0.2500 0.1250 0.3750  4 N 2.67
Sr 0.8750 0.1250 0.2500  4 N 2.67
Sr 0.3750 0.6250 0.2500  4 N 2.67
Sr 0.6250 0.3750 0.7500  4 N 2.67
Sr 0.1250 0.8750 0.7500  4 N 2.67
Sr 0.7500 0.8750 0.6250  4 N 2.67
Sr 0.6250 0.2500 0.3750  4 N 2.67
Sr 0.1250 0.2500 0.8750  4 N 2.67
Sr 0.2500 0.6250 0.8750  4 N 2.67
Pa 0.1250 0.3750 0.2500  4 N 2.10
Pa 0.0000 0.5000 0.0000  6 N 2.26
Pa 0.0000 0.0000 0.0000  6 N 2.26
Pa 0.3750 0.2500 0.1250  4 N 2.10
Pa 0.5000 0.0000 0.5000  6 N 2.26
Pa 0.5000 0.5000 0.0000  6 N 2.26
Pa 0.1250 0.7500 0.3750  4 N 2.10
Pa 0.7500 0.1250 0.8750  4 N 2.10
Pa 0.7500 0.6250 0.3750  4 N 2.10
Pa 0.3750 0.1250 0.7500  4 N 2.10
Pa 0.6250 0.8750 0.2500  4 N 2.10
Pa 0.5000 0.5000 0.5000  6 N 2.26
Pa 0.5000 0.0000 0.0000  6 N 2.26
Pa 0.0000 0.0000 0.5000  6 N 2.26
Pa 0.2500 0.3750 0.6250  4 N 2.10
Pa 0.2500 0.8750 0.1250  4 N 2.10
Pa 0.0000 0.5000 0.5000  6 N 2.26
Pa 0.8750 0.2500 0.6250  4 N 2.10
Pa 0.6250 0.7500 0.8750  4 N 2.10
Pa 0.8750 0.6250 0.7500  4 N 2.10
N 0.6928 0.1231 0.0166  2 Pa 2.10-2.26
N 0.3238 0.5166 0.3936  2 Pa 2.10-2.26
N 0.9834 0.3769 0.3072  2 Pa 2.10-2.26
N 0.5166 0.1928 0.1231  2 Pa 2.10-2.26
N 0.5697 0.6928 0.6762  2 Pa 2.10-2.26
N 0.9834 0.6064 0.1762  2 Pa 2.10-2.26
N 0.3238 0.8072 0.4303  2 Pa 2.10-2.26
N 0.1064 0.9303 0.1231  2 Pa 2.10-2.26
N 0.6064 0.9834 0.6762  2 Pa 2.10-2.26
N 0.6928 0.5697 0.1762  2 Pa 2.10-2.26
N 0.8072 0.4834 0.3769  2 Pa 2.10-2.26
N 0.8238 0.8936 0.0166  2 Pa 2.10-2.26
N 0.1231 0.6928 0.5166  2 Pa 2.10-2.26
N 0.3769 0.3936 0.0697  2 Pa 2.10-2.26
N 0.0697 0.8936 0.3769  2 Pa 2.10-2.26
N 0.4303 0.1231 0.6064  2 Pa 2.10-2.26
N 0.0697 0.1762 0.1928  2 Pa 2.10-2.26
N 0.4834 0.6762 0.1064  2 Pa 2.10-2.26
N 0.8238 0.9303 0.3072  2 Pa 2.10-2.26
N 0.1231 0.4303 0.1064  2 Pa 2.10-2.26
N 0.3769 0.9834 0.8072  2 Pa 2.10-2.26
N 0.6064 0.6231 0.4303  2 Pa 2.10-2.26
N 0.8936 0.8238 0.5166  2 Pa 2.10-2.26
N 0.8072 0.3238 0.9303  2 Pa 2.10-2.26
N 0.3936 0.3769 0.5697  2 Pa 2.10-2.26
N 0.1064 0.1762 0.4834  2 Pa 2.10-2.26
N 0.1928 0.6762 0.0697  2 Pa 2.10-2.26
N 0.1762 0.0697 0.6928  2 Pa 2.10-2.26
N 0.6231 0.0166 0.1928  2 Pa 2.10-2.26
N 0.8769 0.5697 0.8936  2 Pa 2.10-2.26
N 0.5166 0.3238 0.8936  2 Pa 2.10-2.26
N 0.5697 0.8769 0.3936  2 Pa 2.10-2.26
N 0.9303 0.8238 0.8072  2 Pa 2.10-2.26
N 0.9303 0.1064 0.6231  2 Pa 2.10-2.26
N 0.8769 0.3072 0.4834  2 Pa 2.10-2.26
N 0.1762 0.1064 0.9834  2 Pa 2.10-2.26
N 0.6231 0.6064 0.9303  2 Pa 2.10-2.26
N 0.3936 0.0166 0.3238  2 Pa 2.10-2.26
N 0.3072 0.4303 0.8238  2 Pa 2.10-2.26
N 0.1928 0.5166 0.6231  2 Pa 2.10-2.26
N 0.8936 0.0697 0.8769  2 Pa 2.10-2.26
N 0.6762 0.1928 0.5697  2 Pa 2.10-2.26
N 0.4834 0.8072 0.8769  2 Pa 2.10-2.26
N 0.0166 0.3936 0.8238  2 Pa 2.10-2.26
N 0.4303 0.3072 0.3238  2 Pa 2.10-2.26
N 0.0166 0.6231 0.6928  2 Pa 2.10-2.26
N 0.6762 0.4834 0.6064  2 Pa 2.10-2.26
N 0.3072 0.8769 0.9834  2 Pa 2.10-2.26

Uncorrected formation energy   -0.9722 eV per atom
Size of the total moment   0.00 μB/f.u.
Electronic total energy   -0.3158 hartree per atom
Theoretical density   7.230 g/cm³
Space group   No. 230

***

No. 2
VASP calculation (PBE-GGA) on an optimized crystal structure of TbZrAgOs.

a b c (Å): 4.8568 4.8568 4.8568
angles (deg): 60.00 60.00 60.00
Closest atoms and distances in Å follow each position.
Sites, in units of the cell vectors:
Tb 0.5000 0.5000 0.5000  4 Ag 2.97, 4 Os 2.97
Os 0.7500 0.7500 0.7500  4 Tb 2.97, 4 Zr 2.97
Zr 0.0000 0.0000 0.0000  4 Os 2.97, 4 Ag 2.97
Ag 0.2500 0.2500 0.2500  4 Zr 2.97, 4 Tb 2.97

Energy of formation from the pure elements   -0.199 eV per atom
Size of the total moment   0.00 μB/f.u.
Electronic total energy   -0.2577 hartree per atom
Theoretical density   11.238 g/cm³
Space group   No. 216

***

No. 3
VASP calculation (PBE-GGA) on an optimized crystal structure of Ba2PtBr.

a b c (Å): 8.3505 8.3505 7.6477
angles (deg): 56.91 56.91 90.00
Closest atoms and distances in Å follow each position.
Sites, in units of the cell vectors:
Br 0.5000 0.5000 0.0000  4 Ba 3.35
Br 0.2500 0.7500 0.5000  4 Ba 3.35
Ba 0.6533 0.1250 0.2500  2 Pt 3.04, 2 Br 3.35
Ba 0.0967 0.6250 0.2500  2 Pt 3.04, 2 Br 3.35
Ba 0.3750 0.3467 0.7500  2 Pt 3.04, 2 Br 3.35
Ba 0.8750 0.9033 0.7500  2 Pt 3.04, 2 Br 3.35
Pt 0.0000 0.0000 0.0000  4 Ba 3.04
Pt 0.7500 0.2500 0.5000  4 Ba 3.04

Uncorrected formation energy   -1.0326 eV per atom
Size of the total moment   0.00 μB/f.u.
Electronic total energy   -0.1441 hartree per atom
Polymorph energy (0 for the lowest one)   0.244 eV per atom
Theoretical density   5.386 g/cm³
Space group   No. 122

***

No. 4
VASP calculation (PBE-GGA) on an optimized crystal structure of La6GaAu.

a b c (Å): 5.4105 5.4082 9.4982
angles (deg): 73.50 73.45 90.00
Closest atoms and distances in Å follow each position.
Sites, in units of the cell vectors:
La 0.7439 0.7440 0.5123  12 La 3.64-3.83
La 0.6037 0.1040 0.7925  2 Ga 3.25, 2 Au 3.25, 1 La 3.61
La 0.1037 0.6040 0.7925  2 Au 3.25, 2 Ga 3.25, 1 La 3.61
La 0.3963 0.8960 0.2075  2 Ga 3.25, 2 Au 3.25, 1 La 3.61
La 0.2561 0.2560 0.4877  12 La 3.64-3.83
La 0.8963 0.3960 0.2075  2 Au 3.25, 2 Ga 3.25, 1 La 3.61
Ga 0.5000 0.5000 0.0000  8 La 3.25
Au 0.0000 0.0000 0.0000  8 La 3.25

Energy of formation from the pure elements   -0.322 eV per atom
Size of the total moment   0.00 μB/f.u.
Electronic total energy   -0.1766 hartree per atom
Polymorph energy (0 for the lowest one)   0.000 eV per atom
Theoretical density   7.179 g/cm³
Space group   No. 139

***

No. 5
VASP calculation (PBE-GGA) on an optimized crystal structure of MgIn6Br8.

a b c (Å): 8.4987 8.4987 8.4987
angles (deg): 71.73 71.73 71.73
Closest atoms and distances in Å follow each position.
Sites, in units of the cell vectors:
Mg 0.0000 0.0000 0.0000  6 Br 2.71
In 0.0465 0.4658 0.7061  5 Br 3.15-3.45
In 0.2939 0.9535 0.5342  5 Br 3.15-3.45
In 0.5342 0.2939 0.9535  5 Br 3.15-3.45
In 0.4658 0.7061 0.0465  5 Br 3.15-3.45
In 0.7061 0.0465 0.4658  5 Br 3.15-3.45
In 0.9535 0.5342 0.2939  5 Br 3.15-3.45
Br 0.1425 0.6927 0.9198  1 Mg 2.71
Br 0.0802 0.8575 0.3073  1 Mg 2.71
Br 0.3073 0.0802 0.8575  1 Mg 2.71
Br 0.6746 0.6746 0.6746  3 In 3.15
Br 0.3254 0.3254 0.3254  3 In 3.15
Br 0.6927 0.9198 0.1425  1 Mg 2.71
Br 0.9198 0.1425 0.6927  1 Mg 2.71
Br 0.8575 0.3073 0.0802  1 Mg 2.71

Uncorrected formation energy   -0.8057 eV per atom
Size of the total moment   0.00 μB/f.u.
Electronic total energy   -0.1066 hartree per atom
Theoretical density   4.178 g/cm³
Space group   No. 148

***

No. 6
VASP calculation (PBE-GGA) on an optimized crystal structure of SmEuHo4.

a b c (Å): 6.6752 6.6752 6.6752
angles (deg): 60.00 60.00 60.00
Closest atoms and distances in Å follow each position.
Sites, in units of the cell vectors:
Eu 0.2500 0.2500 0.2500  12 Ho 3.92, 4 Sm 4.09
Ho 0.6265 0.6265 0.1205  6 Ho 3.30-3.38
Ho 0.6265 0.1205 0.6265  6 Ho 3.30-3.38
Ho 0.6265 0.6265 0.6265  6 Ho 3.30-3.38
Ho 0.1205 0.6265 0.6265  6 Ho 3.30-3.38
Sm 0.0000 0.0000 0.0000  12 Ho 3.91, 4 Eu 4.09

Energy of formation from the pure elements   0.254 eV per atom
Size of the total moment   7.17 μB/f.u.
Electronic total energy   -0.1947 hartree per atom
Theoretical density   7.596 g/cm³
Space group   No. 216

***

No. 7
VASP calculation (PBE-GGA) on an optimized crystal structure of Ca2Sb4Pd3Rh.

a b c (Å): 4.5804 4.5804 10.8828
angles (deg): 90.00 90.00 90.00
Closest atoms and distances in Å follow each position.
Sites, in units of the cell vectors:
Ca 0.5000 0.0000 0.2655  2 Rh 3.43, 6 Pd 3.43-3.53, 8 Sb 3.45-3.69
Ca 0.0000 0.5000 0.7345  2 Rh 3.43, 6 Pd 3.43-3.53, 8 Sb 3.45-3.69
Sb 0.5000 0.5000 0.0000  4 Pd 2.73
Sb 0.0000 0.0000 0.0000  4 Pd 2.73
Sb 0.5000 0.0000 0.6243  3 Pd 2.60-2.66, 2 Rh 2.66
Sb 0.0000 0.5000 0.3757  3 Pd 2.60-2.66, 2 Rh 2.66
Pd 0.0000 0.0000 0.5000  4 Sb 2.66
Pd 0.5000 0.0000 0.8632  5 Sb 2.60-2.73
Pd 0.0000 0.5000 0.1368  5 Sb 2.60-2.73
Rh 0.5000 0.5000 0.5000  4 Sb 2.66

Uncorrected formation energy   -0.6902 eV per atom
Size of the total moment   0.00 μB/f.u.
Electronic total energy   -0.1849 hartree per atom
Theoretical density   7.195 g/cm³
Space group   No. 115

***

No. 8
VASP calculation (PBE-GGA) on an optimized crystal structure of Na2LaTcH8.

a b c (Å): 3.3940 5.8188 6.4297
angles (deg): 83.21 90.01 90.01
Closest atoms and distances in Å follow each position.
Sites, in units of the cell vectors:
Na 0.4999 0.4595 0.7817  4 H 2.15-2.31
Na 0.5001 0.5405 0.2183  4 H 2.15-2.31
La 0.0000 0.0000 0.5000  8 H 2.33-2.54
Tc 0.0000 0.0000 0.0000  8 H 1.76-1.93
H 0.0001 0.7756 0.2100  1 Tc 1.76
H 0.4999 0.9832 0.8582  1 H 1.86, 2 Tc 1.93
H 0.0003 0.2445 0.1455  1 Tc 1.79
H 0.9999 0.2244 0.7900  1 Tc 1.76
H 0.5001 0.0168 0.1418  1 H 1.86, 2 Tc 1.93
H 0.9997 0.7555 0.8545  1 Tc 1.79
H 0.4999 0.7242 0.5185  2 Na 2.15-2.31, 2 La 2.33
H 0.5001 0.2758 0.4815  2 Na 2.15-2.31, 2 La 2.33

Size of the total moment   0.00 μB/f.u.
Electronic total energy   -0.1441 hartree per atom
Theoretical density   3.832 g/cm³
Space group   No. 10

***

No. 9
VASP calculation (PBE-GGA) on an optimized crystal structure of AlPd6Pt.

a b c (Å): 5.2623 5.2623 7.1540
angles (deg): 68.42 68.42 60.00
Closest atoms and distances in Å follow each position.
Sites, in units of the cell vectors:
Al 0.0000 0.0000 0.0000  6 Pd 2.45
Pd 0.9292 0.9292 0.7062  1 Al 2.45, 5 Pd 2.60-2.67
Pd 0.4355 0.9292 0.7062  1 Al 2.45, 5 Pd 2.60-2.67
Pd 0.0708 0.5645 0.2938  1 Al 2.45, 5 Pd 2.60-2.67
Pd 0.5645 0.0708 0.2938  1 Al 2.45, 5 Pd 2.60-2.67
Pd 0.0708 0.0708 0.2938  1 Al 2.45, 5 Pd 2.60-2.67
Pd 0.9292 0.4355 0.7062  1 Al 2.45, 5 Pd 2.60-2.67
Pt 0.5000 0.5000 0.5000  12 Pd 2.95

Energy of formation from the pure elements   0.216 eV per atom
Size of the total moment   0.00 μB/f.u.
Electronic total energy   -0.1801 hartree per atom
Polymorph energy (0 for the lowest one)   0.528 eV per atom
Theoretical density   9.200 g/cm³
Space group   No. 166

***

Which value of electronic total energy does entry 1 give?
-0.3158 hartree per atom

***

Which value of theoretical density does entry 8 give?
3.832 g/cm³

***

Copy entry 2 word for word.
VASP calculation (PBE-GGA) on an optimized crystal structure of TbZrAgOs.

a b c (Å): 4.8568 4.8568 4.8568
angles (deg): 60.00 60.00 60.00
Closest atoms and distances in Å follow each position.
Sites, in units of the cell vectors:
Tb 0.5000 0.5000 0.5000  4 Ag 2.97, 4 Os 2.97
Os 0.7500 0.7500 0.7500  4 Tb 2.97, 4 Zr 2.97
Zr 0.0000 0.0000 0.0000  4 Os 2.97, 4 Ag 2.97
Ag 0.2500 0.2500 0.2500  4 Zr 2.97, 4 Tb 2.97

Energy of formation from the pure elements   -0.199 eV per atom
Size of the total moment   0.00 μB/f.u.
Electronic total energy   -0.2577 hartree per atom
Theoretical density   11.238 g/cm³
Space group   No. 216